# 1
# PBE with a Hubbard U GaMo2PbF, relaxed
data_GaMo2PbF
_chemical_formula_sum 'Ga1 Mo2 Pb1 F1'
_cell_length_a 5.275
_cell_length_b 5.275
_cell_length_c 4.094
_cell_angle_alpha 90.00
_cell_angle_beta 90.00
_cell_angle_gamma 90.00
_symmetry_space_group_name_H-M 'P 4/m m m'
_symmetry_Int_Tables_number 123
_symmetry_space_group_name_Hall '-P 4 2'
loop_
_atom_site_label
_atom_site_fract_x
_atom_site_fract_y
_atom_site_fract_z
_atom_site_occupancy
Ga1 0.000 0.000 0.000 1
Mo1 0.000 0.500 0.000 1
Pb1 0.500 0.500 0.500 1
F1 0.000 0.000 0.500 1
# Magnetization   7.16 Bohr magnetons per cell
# DOS(E_F)   3.012 states/eV per cell
# E   -4.07 eV/atom

---

# 2
# PBE with a Hubbard U Rb2GaMoF6, relaxed
data_Rb2GaMoF6
_chemical_formula_sum 'Rb8 Ga4 Mo4 F24'
_cell_length_a 9.171
_cell_length_b 9.171
_cell_length_c 9.171
_cell_angle_alpha 90.00
_cell_angle_beta 90.00
_cell_angle_gamma 90.00
_symmetry_space_group_name_H-M 'F m -3 m'
_symmetry_Int_Tables_number 225
_symmetry_space_group_name_Hall '-F 4 2 3'
loop_
_atom_site_label
_atom_site_fract_x
_atom_site_fract_y
_atom_site_fract_z
_atom_site_occupancy
Rb1 0.250 0.250 0.250 1
Ga1 0.000 0.000 0.000 1
Mo1 0.000 0.000 0.500 1
F1 0.000 0.000 0.270 1
# Magnetization   12.02 Bohr magnetons per cell
# DOS(E_F)   0.000 states/eV per cell
# E   -4.83 eV/atom